No. 1
This record from the Alexandria database describes an optimized crystal structure of NdGdGeAu. The functional is GGA-PBE.

Calculated values
calculated density	9.61	g cm⁻³
energy of formation from the pure elements	-0.7494	eV per atom
total magnetic moment	7.9	μB per formula unit

Geometry as POSCAR:
```
NdGdGeAu
1.0
-0.892 -2.754 -4.304
-1.484 -4.957 0.354
-4.847 -1.352 -1.255
Nd Gd Ge Au
1 1 1 1
direct
0.000 0.000 0.000
0.500 0.500 0.500
0.250 0.250 0.250
0.750 0.750 0.750
```

No. 2
This record from the Alexandria database describes an optimized crystal structure of Li2Ca5Al. The functional is GGA-PBE.

Calculated values
calculated density	1.55	g cm⁻³
energy of formation from the pure elements	-0.0308	eV per atom
total magnetic moment	0.0	μB per formula unit

Geometry as POSCAR:
```
Li2Ca5Al
1.0
0.665 4.464 -6.686
2.241 -6.546 -4.148
-9.069 -0.455 3.661
Ca Li Al
10 4 2
direct
0.328 0.828 0.308
0.481 0.328 0.308
0.172 0.019 0.692
0.500 0.500 0.000
0.981 0.481 0.308
0.019 0.519 0.692
0.519 0.672 0.692
0.000 0.000 0.000
0.672 0.172 0.692
0.828 0.981 0.308
0.117 0.383 0.000
0.617 0.117 0.000
0.383 0.883 0.000
0.883 0.617 0.000
0.250 0.250 0.500
0.750 0.750 0.500
```

No. 3
This record from the Alexandria database describes an optimized crystal structure of BaMn3Ge. The functional is GGA-PBE.

Calculated values
calculated density	5.29	g cm⁻³
energy of formation from the pure elements	0.5280	eV per atom
total magnetic moment	11.0	μB per formula unit

Geometry as POSCAR:
```
BaMn3Ge
1.0
-2.842 -2.513 3.102
3.975 -1.420 2.492
-0.379 3.961 2.862
Ba Mn Ge
1 3 1
direct
0.500 0.500 0.500
0.000 0.000 0.500
0.000 0.500 0.000
0.500 0.000 0.000
0.000 0.000 0.000
```

No. 4
This record from the Alexandria database describes an optimized crystal structure of SmDyHo2. The functional is GGA-PBE.

Calculated values
energy above the most stable polymorph in this dataset	7	meV per atom
calculated density	8.41	g cm⁻³
energy of formation from the pure elements	0.0208	eV per atom
total magnetic moment	0.0	μB per formula unit

Geometry as POSCAR:
```
SmDyHo2
1.0
-0.604 -1.768 4.659
-3.082 -3.564 -1.752
3.925 -3.071 -0.657
Ho Sm Dy
2 1 1
direct
0.000 0.500 0.000
0.000 0.000 0.500
0.500 0.000 0.000
0.500 0.500 0.500
```

No. 5
This record from the Alexandria database describes an optimized crystal structure of DySc3Co. The functional is GGA-PBE.

Calculated values
energy above the most stable polymorph in this dataset	36	meV per atom
calculated density	5.26	g cm⁻³
energy of formation from the pure elements	-0.0865	eV per atom
total magnetic moment	0.0	μB per formula unit

Geometry as POSCAR:
```
DySc3Co
1.0
-1.076 2.081 6.256
-0.790 -6.940 2.173
9.323 1.994 0.941
Sc Dy Co
12 4 4
direct
0.482 0.801 0.378
0.209 0.579 0.531
0.127 0.096 0.401
0.791 0.421 0.469
0.873 0.904 0.599
0.518 0.199 0.622
0.291 0.579 0.031
0.373 0.096 0.901
0.018 0.801 0.878
0.982 0.199 0.122
0.709 0.421 0.969
0.627 0.904 0.099
0.545 0.691 0.759
0.455 0.309 0.241
0.045 0.309 0.741
0.955 0.691 0.259
0.243 0.945 0.111
0.757 0.055 0.889
0.257 0.945 0.611
0.743 0.055 0.389
```

No. 6
This record from the Alexandria database describes an optimized crystal structure of LiCaH4Pd2. The functional is GGA-PBE.

Calculated values
total energy	-3.94	eV/atom
calculated density	5.14	g cm⁻³
total magnetic moment	0.0	μB per formula unit

Geometry as POSCAR:
```
LiCaH4Pd2
1.0
3.628 0.000 0.000
0.000 3.628 0.000
0.000 0.000 6.475
Pd Li H Ca
2 1 4 1
direct
0.500 0.500 0.730
0.500 0.500 0.270
0.000 0.000 0.500
0.000 0.500 0.269
0.000 0.500 0.731
0.500 0.000 0.269
0.500 0.000 0.731
0.000 0.000 0.000
```

No. 7
This record from the Alexandria database describes an optimized crystal structure of RbNi2As. The functional is GGA-PBE.

Calculated values
calculated density	4.65	g cm⁻³
energy of formation from the pure elements	0.0646	eV per atom
total magnetic moment	0.0	μB per formula unit

Geometry as POSCAR:
```
RbNi2As
1.0
5.148 0.000 0.000
0.000 5.148 0.000
2.574 2.574 7.485
Ni Rb As
4 2 2
direct
0.375 0.625 0.250
0.375 0.125 0.250
0.375 0.625 0.750
0.875 0.625 0.750
0.000 0.000 0.000
0.750 0.250 0.500
0.250 0.750 0.500
0.500 0.500 0.000
```

No. 8
This record from the Alexandria database describes an optimized crystal structure of ZnCrSn. The functional is GGA-PBE.

Calculated values
calculated density	6.94	g cm⁻³
energy of formation from the pure elements	0.2014	eV per atom
total magnetic moment	0.0	μB per formula unit

Geometry as POSCAR:
```
ZnCrSn
1.0
-5.054 -4.132 -0.365
1.889 -2.247 -0.715
2.973 0.679 5.719
Zn Sn Cr
2 2 2
direct
0.006 0.500 0.403
0.458 0.500 0.636
0.962 0.500 0.875
0.511 0.500 0.064
0.267 0.000 0.260
0.695 0.000 0.475
```